1.
Computed, not measured: LiTbZnS3 after structural relaxation at the GGA-PBE level of DFT.

The raw total energy comes out at -4.782 eV/atom. The energy relative to the lowest polymorph listed for this composition comes out at 0.000 eV per atom.

The structure belongs to space group P2_1/m (No. 11); the cell edges are 7.4352, 3.8796 and 9.6707 Å and the angles 90.00°, 102.05° and 90.00°. Symmetry generates all atoms from Li at (0.1671, 0.2500, 0.1226), Tb at (0.3346, 0.7500, 0.8452), Zn at (0.0704, 0.2500, 0.6071), S at (0.0687, 0.2500, 0.8489), S at (0.2268, 0.7500, 0.5492) and S at (0.4065, 0.7500, 0.1374).


2.
Computed, not measured: LiTlTcS3 after structural relaxation at the GGA-PBE level of DFT.

The raw total energy comes out at -4.990 eV/atom.

The structure belongs to space group Cmcm (No. 63); the cell edges are 3.5696, 13.7977 and 9.4489 Å and the angles 90.00°, 90.00° and 90.00°. Symmetry generates all atoms from Li at (0.0000, 0.0511, 0.2500), Tl at (0.0000, 0.2323, 0.7500), Tc at (0.0000, 0.5000, 0.0000), S at (0.0000, 0.1197, 0.0306) and S at (0.0000, 0.4444, 0.2500).


Number 1: total magnetization 0.000 μB per atom. Number 2: total magnetization 0.313 μB per atom.